Below is an optimized crystal structure of Sr2UHgS5, with properties calculated at the PBE level.

## Properties
- final energy (eV/atom) = -5.383
- raw formation energy (eV/atom) = -1.429
- space-group type = Cmc2_1, No. 36
- DOS at the Fermi energy (states/eV per atom) = 0.47

a = 4.083 Å, b = 9.033 Å, c = 12.634 Å
α = 90.00°, β = 90.00°, γ = 103.06°
Last column: magnetic moment on the atom in μB.
Fractional positions:
Sr 0.873 0.746 0.810  0.00
Sr 0.108 0.216 0.682  0.00
Sr 0.127 0.254 0.310  0.00
Sr 0.892 0.784 0.182  0.00
U 0.790 0.580 0.515  2.05
U 0.210 0.420 0.015  2.05
Hg 0.540 0.079 0.951  0.00
Hg 0.460 0.921 0.451  0.00
S 0.360 0.720 0.003  -0.03
S 0.699 0.398 0.871  -0.05
S 0.496 0.992 0.767  0.00
S 0.284 0.568 0.657  -0.05
S 0.940 0.881 0.568  -0.03
S 0.640 0.280 0.503  -0.03
S 0.301 0.602 0.371  -0.05
S 0.504 0.008 0.267  0.00
S 0.716 0.432 0.157  -0.05
S 0.060 0.119 0.068  -0.03